1.
A plane-wave DFT calculation with GGA-PBE was carried out for CdIn2Ag7Sb2 after structural relaxation.

Lattice parameters (Å, degrees): 4.072 4.072 15.842 83.19 83.19 90.06
Element x y z (fractional)
Ag  0.432  0.931  0.141
Ag  0.730  0.730  0.539
Ag  0.500  0.500  0.000
Ag  0.931  0.432  0.141
Ag  0.069  0.568  0.859
Ag  0.270  0.270  0.461
Ag  0.568  0.069  0.859
Sb  0.181  0.181  0.640
Sb  0.819  0.819  0.360
In  0.359  0.359  0.280
In  0.641  0.641  0.720
Cd  0.000  0.000  0.000

Properties
Crystal system ... monoclinic
Formation energy without anion corrections ... 0.071 eV/atom
Space-group type ... C2/m (12)
Fermi-level density of states ... 0.4628 states/eV per atom
Magnetization ... 0.0 Bohr magnetons per cell

2.
A plane-wave DFT calculation with GGA-PBE was carried out for MnBeSb after structural relaxation.

Lattice parameters (Å, degrees): 3.845 3.845 3.249 90.00 90.00 120.00
Element x y z (fractional)
Be  0.000  0.000  0.167
Sb  0.333  0.667  0.667
Mn  0.667  0.333  0.167

Properties
Crystal system ... hexagonal
Formation energy without anion corrections ... 0.408 eV/atom
Space-group type ... P-6m2 (187)
Fermi-level density of states ... 0.5072 states/eV per atom
Energy above the most stable polymorph in this dataset ... 222 meV/atom
Magnetization ... 0.0 Bohr magnetons per cell

3.
A plane-wave DFT calculation with GGA-PBE was carried out for Ac8Pm4Pr after structural relaxation.

Lattice parameters (Å, degrees): 5.513 17.638 6.687 63.93 65.65 81.01
Element x y z (fractional)
Pm  0.360  0.442  0.837
Pm  0.127  0.133  0.614
Pm  0.896  0.826  0.382
Pm  0.662  0.516  0.160
Ac  0.820  0.055  0.305
Ac  0.054  0.366  0.527
Ac  0.745  0.290  0.219
Ac  0.277  0.669  0.778
Ac  0.968  0.593  0.470
Ac  0.587  0.750  0.077
Ac  0.202  0.904  0.691
Ac  0.436  0.209  0.920
Pr  0.511  0.979  0.998

Properties
Crystal system ... monoclinic
Calculated formation energy ... 0.037 eV/atom
Space-group type ... C2/m (12)
Fermi-level density of states ... 1.8063 states/eV per atom
Magnetization ... 0.0 Bohr magnetons per cell

4.
A plane-wave DFT calculation with GGA-PBE was carried out for Tm6PuO12 after structural relaxation.

Lattice parameters (Å, degrees): 6.465 6.465 6.465 98.98 98.98 98.98
Site moments in Bohr magnetons follow the coordinates.
Element x y z (fractional)
O  0.047  0.689  0.919  -0.07
O  0.953  0.311  0.081  -0.07
O  0.081  0.953  0.311  -0.07
O  0.412  0.822  0.573  -0.01
O  0.573  0.412  0.822  -0.01
O  0.311  0.081  0.953  -0.07
O  0.689  0.919  0.047  -0.07
O  0.588  0.178  0.427  -0.01
O  0.919  0.047  0.689  -0.07
O  0.822  0.573  0.412  -0.01
O  0.178  0.427  0.588  -0.01
O  0.427  0.588  0.178  -0.01
Tm  0.610  0.323  0.146  0.00
Tm  0.146  0.610  0.323  0.00
Tm  0.323  0.146  0.610  0.00
Tm  0.854  0.390  0.677  0.00
Tm  0.677  0.854  0.390  0.00
Tm  0.390  0.677  0.854  0.00
Pu  0.000  0.000  0.000  2.44

Properties
Crystal system ... trigonal
Formation energy without anion corrections ... -3.475 eV/atom
Space-group type ... R-3 (148)
Fermi-level density of states ... 0.4291 states/eV per atom
Magnetization ... 2.0 Bohr magnetons per cell

5.
A plane-wave DFT calculation with GGA-PBE was carried out for YFeBr2 after structural relaxation.

Lattice parameters (Å, degrees): 5.233 5.233 5.233 126.71 126.71 78.72
Site moments in Bohr magnetons follow the coordinates.
Element x y z (fractional)
Br  0.000  0.000  0.000  0.06
Br  0.500  0.500  0.000  0.06
Y  0.750  0.250  0.500  -0.14
Fe  0.250  0.750  0.500  3.02

Properties
Crystal system ... tetragonal
Formation energy without anion corrections ... -0.226 eV/atom
Space-group type ... I4/mmm (139)
Fermi-level density of states ... 1.0016 states/eV per atom
Energy above the most stable polymorph in this dataset ... 360 meV/atom
Magnetization ... 3.1 Bohr magnetons per cell

6.
A plane-wave DFT calculation with GGA-PBE was carried out for Ti4Cu2Ni3 after structural relaxation.

Lattice parameters (Å, degrees): 3.812 4.614 7.975 73.18 90.00 65.64
Site moments in Bohr magnetons follow the coordinates.
Element x y z (fractional)
Ti  0.024  0.952  0.339  0.03
Ti  0.337  0.326  0.107  0.34
Ti  0.663  0.674  0.893  0.34
Ti  0.976  0.048  0.661  0.03
Ni  0.000  0.000  0.000  0.06
Ni  0.659  0.682  0.548  0.02
Ni  0.341  0.318  0.452  0.02
Cu  0.317  0.367  0.767  0.01
Cu  0.683  0.633  0.233  0.01

Properties
Crystal system ... monoclinic
Calculated formation energy ... -0.214 eV/atom
Space-group type ... C2/m (12)
Fermi-level density of states ... 1.1321 states/eV per atom
Magnetization ... 1.0 Bohr magnetons per cell

7.
A plane-wave DFT calculation with GGA-PBE was carried out for TbHoEr2Sc after structural relaxation.

Lattice parameters (Å, degrees): 7.036 8.110 6.885 126.09 90.00 90.00
Element x y z (fractional)
Er  0.000  0.697  0.000
Er  0.500  0.303  0.000
Er  0.500  0.697  0.000
Er  0.000  0.303  0.000
Ho  0.250  0.269  0.539
Ho  0.750  0.731  0.461
Sc  0.750  0.001  0.003
Sc  0.250  0.999  0.997
Tb  0.750  0.270  0.540
Tb  0.250  0.730  0.460

Properties
Crystal system ... orthorhombic
Calculated formation energy ... 0.351 eV/atom
Space-group type ... Cmcm (63)
Fermi-level density of states ... 1.2438 states/eV per atom
Magnetization ... 0.0 Bohr magnetons per cell

8.
A plane-wave DFT calculation with GGA-PBE was carried out for Tb4ErHg after structural relaxation.

Lattice parameters (Å, degrees): 6.359 8.986 8.206 113.24 99.87 113.25
Element x y z (fractional)
Hg  0.749  0.999  0.998
Hg  0.251  0.001  0.002
Tb  0.757  0.712  0.622
Tb  0.365  0.910  0.622
Tb  0.041  0.164  0.762
Tb  0.221  0.598  0.762
Tb  0.959  0.836  0.238
Tb  0.243  0.288  0.378
Tb  0.779  0.402  0.238
Tb  0.635  0.090  0.378
Er  0.343  0.593  0.186
Er  0.657  0.407  0.814

Properties
Crystal system ... monoclinic
Calculated formation energy ... -0.046 eV/atom
Space-group type ... C2/c (15)
Fermi-level density of states ... 1.3693 states/eV per atom
Energy above the most stable polymorph in this dataset ... 98 meV/atom
Magnetization ... 0.0 Bohr magnetons per cell

9.
A plane-wave DFT calculation with GGA-PBE was carried out for Ge2H3O6 after structural relaxation.

Lattice parameters (Å, degrees): 5.088 5.144 9.628 72.14 74.68 60.36
Site moments in Bohr magnetons follow the coordinates.
Element x y z (fractional)
O  0.848  0.568  0.618  0.26
O  0.416  0.168  0.883  0.12
O  0.467  0.332  0.617  0.12
O  0.152  0.432  0.382  0.26
O  0.094  0.956  0.609  0.06
O  0.906  0.044  0.391  0.06
O  0.660  0.544  0.891  0.06
O  0.966  0.068  0.118  0.26
O  0.034  0.932  0.882  0.26
O  0.340  0.456  0.109  0.06
O  0.533  0.668  0.383  0.12
O  0.584  0.832  0.117  0.12
Ge  0.330  0.840  0.999  -0.01
Ge  0.832  0.340  0.499  -0.01
Ge  0.670  0.160  0.001  -0.01
Ge  0.168  0.660  0.501  -0.01
H  0.437  0.250  0.750  0.00
H  0.275  0.427  0.222  0.00
H  0.725  0.573  0.778  0.00
H  0.076  0.927  0.722  0.00
H  0.563  0.750  0.250  0.00
H  0.924  0.073  0.278  0.00

Properties
Energy ... -5.6104 eV per atom
Crystal system ... monoclinic
Space-group type ... C2/c (15)
Fermi-level density of states ... 0.5922 states/eV per atom
Magnetization ... 2.1 Bohr magnetons per cell

10.
A plane-wave DFT calculation with GGA-PBE was carried out for Sr3Ce3MgTe8 after structural relaxation.

Lattice parameters (Å, degrees): 9.101 9.100 9.314 119.25 90.00 120.00
Site moments in Bohr magnetons follow the coordinates.
Element x y z (fractional)
Te  0.747  0.494  0.741  -0.02
Te  0.246  0.009  0.272  -0.02
Te  0.253  0.506  0.259  -0.02
Te  0.237  0.991  0.728  -0.02
Te  0.754  0.991  0.728  -0.02
Te  0.237  0.473  0.728  -0.02
Te  0.763  0.009  0.272  -0.02
Te  0.763  0.527  0.272  -0.02
Mg  0.000  0.000  0.500  0.00
Ce  0.000  0.500  0.500  1.08
Ce  0.500  0.500  0.500  1.08
Ce  0.500  0.000  0.500  1.08
Sr  0.000  0.500  0.000  0.01
Sr  0.000  0.000  0.000  0.01
Sr  0.500  0.500  0.000  0.01

Properties
Crystal system ... trigonal
Formation energy without anion corrections ... -1.391 eV/atom
Space-group type ... R-3m (166)
Fermi-level density of states ... 1.6781 states/eV per atom
Magnetization ... 3.8 Bohr magnetons per cell

11.
A plane-wave DFT calculation with GGA-PBE was carried out for CaErRuAu after structural relaxation.

Lattice parameters (Å, degrees): 4.921 4.921 4.921 60.00 60.00 60.00
Element x y z (fractional)
Ca  0.000  0.000  0.000
Ru  0.750  0.750  0.750
Au  0.250  0.250  0.250
Er  0.500  0.500  0.500

Properties
Crystal system ... cubic
Calculated formation energy ... -0.383 eV/atom
Space-group type ... F-43m (216)
Fermi-level density of states ... 0.4994 states/eV per atom
Magnetization ... 0.0 Bohr magnetons per cell

12.
A plane-wave DFT calculation with GGA-PBE was carried out for MgFe after structural relaxation.

Lattice parameters (Å, degrees): 7.564 7.564 4.492 90.00 90.00 90.00
Site moments in Bohr magnetons follow the coordinates.
Element x y z (fractional)
Mg  0.500  0.213  0.000  -0.04
Mg  0.000  0.287  0.500  -0.04
Mg  0.287  0.000  0.500  -0.04
Mg  0.713  0.000  0.500  -0.04
Mg  0.000  0.713  0.500  -0.04
Mg  0.500  0.787  0.000  -0.04
Mg  0.787  0.500  0.000  -0.04
Mg  0.213  0.500  0.000  -0.04
Fe  0.654  0.346  0.500  2.10
Fe  0.846  0.154  0.000  2.10
Fe  0.154  0.846  0.000  2.10
Fe  0.346  0.346  0.500  2.10
Fe  0.846  0.846  0.000  2.10
Fe  0.654  0.654  0.500  2.10
Fe  0.154  0.154  0.000  2.10
Fe  0.346  0.654  0.500  2.10

Properties
Crystal system ... tetragonal
Calculated formation energy ... 0.312 eV/atom
Space-group type ... I4/mmm (139)
Fermi-level density of states ... 1.2266 states/eV per atom
Magnetization ... 15.6 Bohr magnetons per cell